Record 1
Below is a geometry-optimized Pm4Cu2Pd5 structure, with properties calculated at the PBE level.

Calculated values
Formation enthalpy at 0 K in eV/f.u.: -7.4

```
Pm4Cu2Pd5
1.0
-1.152 1.694 3.305
-6.369 -3.342 -0.507
3.168 -6.399 4.383
Pm Cu Pd
4 2 5
direct
0.500 0.767 0.124
0.500 0.260 0.381
0.500 0.740 0.619
0.500 0.233 0.876
0.000 0.083 0.625
0.000 0.917 0.375
0.000 0.133 0.131
0.000 0.440 0.662
0.000 0.500 0.000
0.000 0.867 0.869
0.000 0.560 0.338
```

***

Record 2
Below is a geometry-optimized LiNdScRh structure, with properties calculated at the PBE level.

Calculated values
Formation enthalpy at 0 K in eV/f.u.: -1.6

```
LiNdScRh
1.0
4.885 0.000 0.000
2.443 4.231 0.000
2.443 1.410 3.989
Rh Li Nd Sc
1 1 1 1
direct
0.500 0.500 0.500
0.000 0.000 0.000
0.750 0.750 0.750
0.250 0.250 0.250
```

***

Record 3
Below is a geometry-optimized Ta2SiCl structure, with properties calculated at the PBE level.

Calculated values
Energy relative to the lowest polymorph listed for this composition in meV/atom: 16
Energy relative to the elements, uncorrected in eV/atom: -0.076

```
Ta2SiCl
1.0
-0.996 2.211 -1.632
-0.975 -2.450 -1.260
-8.020 0.398 5.432
Ta Cl Si
2 1 1
direct
0.000 0.000 0.012
0.500 0.500 0.245
0.000 0.000 0.437
0.500 0.500 0.806
```

***

Record 4
Below is a geometry-optimized TcIrRhW structure, with properties calculated at the PBE level.

Calculated values
Formation enthalpy at 0 K in eV/f.u.: -0.9

```
TcIrRhW
1.0
-2.254 3.213 -0.245
-2.930 -1.932 1.631
1.210 1.116 3.497
Ir W Rh Tc
1 1 1 1
direct
0.000 0.000 0.000
0.500 0.000 0.500
0.000 0.500 0.500
0.500 0.500 0.000
```

***

Calculated total energy: -5.505 -5.493 -7.819 -10.115 (eV/atom)